# 1
{"formula": "Si2PtBr", "functional": "PBE-GGA", "state": "relaxed", "final_energy_ev_per_cell": -17.80, "e_above_lowest_polymorph_kj_per_mol_atoms": 56.0, "formation_energy_uncorrected_ev_per_fu": 0.76, "cell": [[-1.903, 2.394, -1.089], [-2.013, -2.191, -1.298], [-3.796, -0.191, 6.213]], "species": ["Si", "Si", "Br", "Pt"], "fractional_positions": [[0.500, 0.500, 0.164], [0.000, 0.000, 0.978], [0.000, 0.000, 0.543], [0.500, 0.500, 0.816]]}

=====

# 2
{"formula": "Si2PtBr", "functional": "PBE-GGA", "state": "relaxed", "final_energy_ev_per_cell": -17.61, "e_above_lowest_polymorph_kj_per_mol_atoms": 60.6, "formation_energy_uncorrected_ev_per_fu": 0.95, "cell": [[4.544, 0.010, 0.007], [-1.399, 4.323, 0.007], [1.562, 2.153, 3.678]], "species": ["Br", "Si", "Si", "Pt"], "fractional_positions": [[0.500, 0.000, 0.500], [0.500, 0.500, 0.000], [0.000, 0.000, 0.000], [0.000, 0.500, 0.500]]}

=====

# 3
{"formula": "SiPtBr2", "functional": "PBE-GGA", "state": "relaxed", "final_energy_ev_per_cell": -12.38, "e_above_lowest_polymorph_kj_per_mol_atoms": 95.2, "formation_energy_uncorrected_ev_per_fu": 2.43, "cell": [[7.866, -0.002, -0.001], [7.016, 3.557, -0.001], [7.016, 1.676, 3.138]], "species": ["Br", "Br", "Si", "Pt"], "fractional_positions": [[0.506, 0.506, 0.506], [0.994, 0.994, 0.994], [0.750, 0.750, 0.750], [0.250, 0.250, 0.250]]}

=====

# 4
{"formula": "Si2PtBr", "functional": "PBE-GGA", "state": "relaxed", "final_energy_ev_per_cell": -18.19, "e_above_lowest_polymorph_kj_per_mol_atoms": 46.6, "formation_energy_uncorrected_ev_per_fu": 0.37, "cell": [[4.233, 0.000, 0.000], [0.000, 4.460, -0.017], [0.000, 1.582, 4.169]], "species": ["Br", "Pt", "Si", "Si"], "fractional_positions": [[0.500, 0.250, 0.250], [0.500, 0.750, 0.750], [0.000, 0.929, 0.929], [0.000, 0.571, 0.571]]}

=====

# 5
{"formula": "SiPtBr2", "functional": "PBE-GGA", "state": "relaxed", "final_energy_ev_per_cell": -12.54, "e_above_lowest_polymorph_kj_per_mol_atoms": 91.2, "formation_energy_uncorrected_ev_per_fu": 2.27, "cell": [[-1.515, -0.277, -3.238], [-0.249, -2.454, 2.602], [-7.234, 3.965, 3.047]], "species": ["Br", "Br", "Si", "Pt"], "fractional_positions": [[0.000, 0.000, 0.031], [0.000, 0.000, 0.469], [0.500, 0.500, 0.750], [0.500, 0.500, 0.250]]}

=====

# 6
{"formula": "SiPt2Br", "functional": "PBE-GGA", "state": "relaxed", "final_energy_ev_per_cell": -18.22, "e_above_lowest_polymorph_kj_per_mol_atoms": 55.3, "formation_energy_uncorrected_ev_per_fu": 0.95, "cell": [[4.580, 0.024, 0.040], [-1.701, 4.271, -0.014], [1.177, 2.290, 3.797]], "species": ["Si", "Br", "Pt", "Pt"], "fractional_positions": [[0.000, 0.500, 0.500], [0.500, 0.500, 0.000], [0.000, 0.000, 0.000], [0.500, 0.000, 0.500]]}

=====

# 7
{"formula": "SiPtBr2", "functional": "PBE-GGA", "state": "relaxed", "final_energy_ev_per_cell": -15.05, "e_above_lowest_polymorph_kj_per_mol_atoms": 30.8, "formation_energy_uncorrected_ev_per_fu": -0.24, "cell": [[4.037, 0.009, 0.000], [-2.498, 3.172, 0.000], [0.000, 0.000, 9.052]], "species": ["Br", "Br", "Pt", "Si"], "fractional_positions": [[0.000, 0.000, 0.924], [0.500, 0.500, 0.332], [0.000, 0.000, 0.544], [0.500, 0.500, 0.700]]}

=====

# 8
{"formula": "SiPt2Br", "functional": "PBE-GGA", "state": "relaxed", "final_energy_ev_per_cell": -19.11, "e_above_lowest_polymorph_kj_per_mol_atoms": 33.8, "formation_energy_uncorrected_ev_per_fu": 0.06, "cell": [[-2.466, -4.644, -2.054], [4.430, -2.295, -2.640], [-2.739, 1.348, 4.748]], "species": ["Pt", "Pt", "Si", "Br"], "fractional_positions": [[0.538, 0.538, 0.000], [0.962, 0.962, 0.000], [0.750, 0.250, 0.500], [0.250, 0.750, 0.500]]}

=====

# 9
{"formula": "SiPt2Br", "functional": "PBE-GGA", "state": "relaxed", "final_energy_ev_per_cell": -16.75, "e_above_lowest_polymorph_kj_per_mol_atoms": 90.9, "formation_energy_uncorrected_ev_per_fu": 2.43, "cell": [[4.626, 0.000, 0.000], [2.313, 4.007, 0.000], [2.313, 1.336, 3.778]], "species": ["Br", "Si", "Pt", "Pt"], "fractional_positions": [[0.500, 0.500, 0.500], [0.750, 0.750, 0.750], [0.250, 0.250, 0.250], [0.000, 0.000, 0.000]]}

=====

# 10
{"formula": "SiPt2Br", "functional": "PBE-GGA", "state": "relaxed", "final_energy_ev_per_cell": -19.29, "e_above_lowest_polymorph_kj_per_mol_atoms": 29.7, "formation_energy_uncorrected_ev_per_fu": -0.11, "cell": [[3.387, 0.009, 0.000], [-1.414, 3.078, 0.000], [0.000, 0.000, 7.235]], "species": ["Pt", "Pt", "Br", "Si"], "fractional_positions": [[0.000, 0.000, 0.449], [0.000, 0.000, 0.051], [0.500, 0.500, 0.750], [0.500, 0.500, 0.250]]}

=====

# 11
{"formula": "SiPt2Br", "functional": "PBE-GGA", "state": "relaxed", "final_energy_ev_per_cell": -19.56, "e_above_lowest_polymorph_kj_per_mol_atoms": 23.1, "formation_energy_uncorrected_ev_per_fu": -0.38, "cell": [[-0.376, -4.432, -5.495], [1.210, -6.767, -1.647], [-2.657, 5.045, 4.179]], "species": ["Si", "Pt", "Pt", "Br"], "fractional_positions": [[0.543, 0.543, 0.000], [0.988, 0.988, 0.000], [0.666, 0.166, 0.500], [0.302, 0.802, 0.500]]}

=====

# 12
{"formula": "SiPt2Br", "functional": "PBE-GGA", "state": "relaxed", "final_energy_ev_per_cell": -17.76, "e_above_lowest_polymorph_kj_per_mol_atoms": 66.5, "formation_energy_uncorrected_ev_per_fu": 1.42, "cell": [[2.949, 0.000, 0.000], [0.000, 5.892, 0.000], [0.000, 0.000, 4.209]], "species": ["Pt", "Pt", "Br", "Si"], "fractional_positions": [[0.500, 0.500, 0.000], [0.000, 0.000, 0.000], [0.000, 0.500, 0.500], [0.500, 0.000, 0.500]]}

=====

# 13
{"formula": "Si2PtBr", "functional": "PBE-GGA", "state": "relaxed", "final_energy_ev_per_cell": -16.51, "e_above_lowest_polymorph_kj_per_mol_atoms": 87.2, "formation_energy_uncorrected_ev_per_fu": 2.05, "cell": [[-2.843, -3.429, -1.290], [-2.046, -2.648, 3.211], [-4.563, 0.367, 0.745]], "species": ["Br", "Si", "Si", "Pt"], "fractional_positions": [[0.000, 0.000, 0.000], [0.250, 0.250, 0.250], [0.750, 0.750, 0.750], [0.500, 0.500, 0.500]]}

=====

# 14
{"formula": "Sm6Si2PtBr3", "functional": "PBE-GGA", "state": "relaxed", "final_energy_ev_per_cell": -63.36, "formation_energy_uncorrected_ev_per_fu": -13.14, "cell": [[-3.848, 1.303, -0.902], [-3.064, -4.034, 7.241], [4.186, 8.043, 3.358]], "species": ["Si", "Si", "Sm", "Sm", "Sm", "Sm", "Sm", "Sm", "Pt", "Br", "Br", "Br"], "fractional_positions": [[0.834, 0.663, 0.667], [0.166, 0.337, 0.333], [0.659, 0.108, 0.317], [0.676, 0.565, 0.352], [0.991, 0.778, 0.983], [0.324, 0.435, 0.648], [0.341, 0.892, 0.683], [0.009, 0.222, 0.017], [0.500, 0.000, 0.000], [0.500, 0.500, 0.000], [0.171, 0.833, 0.342], [0.829, 0.167, 0.658]]}

=====

# 15
{"formula": "Sm4SiPtBr2", "functional": "PBE-GGA", "state": "relaxed", "final_energy_ev_per_cell": -42.54, "formation_energy_uncorrected_ev_per_fu": -8.85, "cell": [[4.126, 0.000, 0.000], [0.000, 7.631, -0.284], [0.000, 2.552, 7.108]], "species": ["Si", "Sm", "Sm", "Sm", "Sm", "Pt", "Br", "Br"], "fractional_positions": [[0.000, 0.500, 0.500], [0.000, 0.300, 0.226], [0.500, 0.711, 0.263], [0.500, 0.289, 0.737], [0.000, 0.700, 0.774], [0.500, 0.500, 0.000], [0.000, 0.000, 0.000], [0.500, 0.000, 0.500]]}